# 1
## TbTl2GaI6 (PBE)

Data for a relaxed TbTl2GaI6 crystal.

Output
* volume: 456.0 Å³/cell
* uncorrected formation energy: -886 meV/atom
* crystal system: trigonal
* SG: No. 146

Cell lengths 8.776, 8.776, 8.776 Å; angles 57.99, 57.99, 57.99 degrees
Element x y z (fractional)
1 Tb 0.000 0.000 0.000
2 Tl 0.305 0.305 0.305
3 Tl 0.797 0.797 0.797
4 Ga 0.506 0.506 0.506
5 I 0.137 0.341 0.754
6 I 0.222 0.871 0.651
7 I 0.341 0.754 0.137
8 I 0.651 0.222 0.871
9 I 0.754 0.137 0.341
10 I 0.871 0.651 0.222

# 2
## BaScTe2 (PBE)

Data for a relaxed BaScTe2 crystal.

Output
* volume: 496.2 Å³/cell
* relative energy among the computed polymorphs: 1012.5 meV per atom
* uncorrected formation energy: -376 meV/atom
* crystal system: cubic
* SG: No. 216

Cell lengths 7.917, 7.917, 7.917 Å; angles 90.00, 90.00, 90.00 degrees
Element x y z (fractional)
1 Ba 0.000 0.000 0.000
2 Ba 0.000 0.500 0.500
3 Ba 0.500 0.000 0.500
4 Ba 0.500 0.500 0.000
5 Sc 0.250 0.250 0.250
6 Sc 0.250 0.750 0.750
7 Sc 0.750 0.250 0.750
8 Sc 0.750 0.750 0.250
9 Te 0.000 0.000 0.500
10 Te 0.000 0.500 0.000
11 Te 0.250 0.250 0.750
12 Te 0.250 0.750 0.250
13 Te 0.500 0.000 0.000
14 Te 0.500 0.500 0.500
15 Te 0.750 0.250 0.250
16 Te 0.750 0.750 0.750

# 3
## LaMgIr (PBE)

Data for a relaxed LaMgIr crystal.

Output
* volume: 71.0 Å³/cell
* formation energy from the elements: -0.399 eV/atom
* crystal system: hexagonal
* SG: No. 187

Cell lengths 4.518, 4.518, 4.014 Å; angles 90.00, 90.00, 120.00 degrees
Element x y z (fractional)
1 La 0.000 0.000 0.000
2 Mg 0.667 0.333 0.500
3 Ir 0.333 0.667 0.500